Material: Pr2ErS4
Method: DFT, PBE-GGA
State: optimized geometry

a = 7.047 Å, b = 7.047 Å, c = 13.482 Å
α = 90.00°, β = 90.00°, γ = 148.16°
Positions (direct):
Pr 0.129 0.871 0.573
Pr 0.129 0.871 0.927
Pr 0.871 0.129 0.073
Pr 0.871 0.129 0.427
Er 0.372 0.628 0.750
Er 0.628 0.372 0.250
S 0.015 0.985 0.750
S 0.218 0.782 0.127
S 0.218 0.782 0.373
S 0.500 0.500 0.000
S 0.500 0.500 0.500
S 0.782 0.218 0.627
S 0.782 0.218 0.873
S 0.985 0.015 0.250

Output
As for the final energy: -89.0 eV/cell. The energy relative to the elements, uncorrected is -1.98 eV per atom. The energy relative to the lowest polymorph listed for this composition is 70 meV per atom.



Material: TaTiNbCu
Method: DFT, PBE-GGA
State: optimized geometry

a = 6.402 Å, b = 6.402 Å, c = 6.402 Å
α = 90.00°, β = 90.00°, γ = 90.00°
Positions (direct):
Ta 0.000 0.000 0.000
Ta 0.000 0.500 0.500
Ta 0.500 0.000 0.500
Ta 0.500 0.500 0.000
Ti 0.000 0.000 0.500
Ti 0.000 0.500 0.000
Ti 0.500 0.000 0.000
Ti 0.500 0.500 0.500
Nb 0.250 0.250 0.250
Nb 0.250 0.750 0.750
Nb 0.750 0.250 0.750
Nb 0.750 0.750 0.250
Cu 0.250 0.250 0.750
Cu 0.250 0.750 0.250
Cu 0.750 0.250 0.250
Cu 0.750 0.750 0.750

Output
As for the final energy: -134.5 eV/cell. As for the formation enthalpy at 0 K: 72 meV per atom. The energy relative to the lowest polymorph listed for this composition is 0 meV per atom.



Material: AcDySiAu
Method: DFT, PBE-GGA
State: optimized geometry

a = 7.488 Å, b = 7.488 Å, c = 7.488 Å
α = 90.00°, β = 90.00°, γ = 90.00°
Positions (direct):
Ac 0.000 0.000 0.000
Ac 0.000 0.500 0.500
Ac 0.500 0.000 0.500
Ac 0.500 0.500 0.000
Dy 0.000 0.000 0.500
Dy 0.000 0.500 0.000
Dy 0.500 0.000 0.000
Dy 0.500 0.500 0.500
Si 0.250 0.250 0.250
Si 0.250 0.750 0.750
Si 0.750 0.250 0.750
Si 0.750 0.750 0.250
Au 0.250 0.250 0.750
Au 0.250 0.750 0.250
Au 0.750 0.250 0.250
Au 0.750 0.750 0.750

Output
As for the final energy: -78.5 eV/cell. The energy relative to the elements, uncorrected is -0.55 eV per atom.



Material: BaGe3Mo
Method: DFT, PBE-GGA
State: optimized geometry

a = 4.979 Å, b = 4.979 Å, c = 4.979 Å
α = 90.00°, β = 90.00°, γ = 90.00°
Positions (direct):
Ba 0.000 0.000 0.000
Ge 0.000 0.500 0.500
Ge 0.500 0.000 0.500
Ge 0.500 0.500 0.000
Mo 0.500 0.500 0.500

Output
As for the final energy: -27.5 eV/cell. As for the formation enthalpy at 0 K: -188 meV per atom. The energy relative to the lowest polymorph listed for this composition is 0 meV per atom.



Material: CoRe2Ru
Method: DFT, PBE-GGA
State: optimized geometry

a = 2.706 Å, b = 2.706 Å, c = 26.071 Å
α = 90.00°, β = 90.00°, γ = 120.00°
Positions (direct):
Co 0.000 0.000 0.000
Co 0.333 0.667 0.667
Co 0.667 0.333 0.333
Re 0.000 0.000 0.253
Re 0.000 0.000 0.747
Re 0.333 0.667 0.414
Re 0.333 0.667 0.920
Re 0.667 0.333 0.080
Re 0.667 0.333 0.586
Ru 0.000 0.000 0.500
Ru 0.333 0.667 0.167
Ru 0.667 0.333 0.833

Output
As for the final energy: -122.4 eV/cell. As for the formation enthalpy at 0 K: 122 meV per atom. The energy relative to the lowest polymorph listed for this composition is 179 meV per atom.



Material: Lu3Sc
Method: DFT, PBE-GGA
State: optimized geometry

a = 4.826 Å, b = 4.826 Å, c = 4.826 Å
α = 90.00°, β = 90.00°, γ = 90.00°
Positions (direct):
Lu 0.000 0.000 0.500
Lu 0.000 0.500 0.000
Lu 0.500 0.000 0.000
Sc 0.500 0.500 0.500

Output
As for the final energy: -19.7 eV/cell. As for the formation enthalpy at 0 K: 51 meV per atom. The energy relative to the lowest polymorph listed for this composition is 43 meV per atom.



- Which of these has the lowest final energy?
  TaTiNbCu